(1)
Crystalline Na2MgSn at its relaxed geometry, computed with GGA-PBE.

abc: 3.944 3.944 7.008
angles: 90.00 90.00 90.00
Sites, in units of the cell vectors:
Na 0.000 0.000 0.239
Na 0.000 0.000 0.761
Mg 0.500 0.500 0.500
Sn 0.500 0.500 0.000

Properties
ΔH_f (0 K) (eV per formula unit): 0.03
Energy (eV per atom): -2.052



(2)
Crystalline LiLuNiSb at its relaxed geometry, computed with GGA-PBE.

abc: 4.590 4.590 4.590
angles: 60.00 60.00 60.00
Sites, in units of the cell vectors:
Li 0.000 0.000 0.000
Lu 0.250 0.250 0.250
Ni 0.500 0.500 0.500
Sb 0.750 0.750 0.750

Properties
Energy (eV per atom): -4.559
Energy relative to the elements, uncorrected (eV/atom): -0.47



(3)
Crystalline Ce3YTh4S8 at its relaxed geometry, computed with GGA-PBE.

abc: 8.087 8.087 8.087
angles: 59.21 59.21 59.21
Sites, in units of the cell vectors:
Ce 0.000 0.500 0.500
Ce 0.500 0.000 0.500
Ce 0.500 0.500 0.000
Y 0.000 0.000 0.000
Th 0.000 0.000 0.500
Th 0.000 0.500 0.000
Th 0.500 0.000 0.000
Th 0.500 0.500 0.500
S 0.245 0.245 0.752
S 0.245 0.752 0.245
S 0.248 0.755 0.755
S 0.251 0.251 0.251
S 0.749 0.749 0.749
S 0.752 0.245 0.245
S 0.755 0.248 0.755
S 0.755 0.755 0.248

Properties
Energy (eV per atom): -7.376
Energy relative to the elements, uncorrected (eV/atom): -1.94



(4)
Crystalline NiIrSe6 at its relaxed geometry, computed with GGA-PBE.

abc: 5.836 5.884 6.031
angles: 101.94 111.02 91.27
Sites, in units of the cell vectors:
Ni 0.000 0.000 0.000
Ir 0.500 0.500 0.000
Se 0.063 0.336 0.877
Se 0.320 0.857 0.878
Se 0.452 0.340 0.568
Se 0.548 0.660 0.432
Se 0.680 0.143 0.122
Se 0.937 0.664 0.123

Properties
Energy (eV per atom): -4.616
Energy relative to the elements, uncorrected (eV/atom): -0.17



(5)
Crystalline SrNiAs2 at its relaxed geometry, computed with GGA-PBE.

abc: 4.799 3.908 4.856
angles: 90.00 100.50 90.00
Sites, in units of the cell vectors:
Sr 0.000 0.000 0.000
Ni 0.500 0.000 0.500
As 0.269 0.500 0.624
As 0.731 0.500 0.376

Properties
ΔH_f (0 K) (eV per formula unit): -2.46
Energy (eV per atom): -4.805



(6)
Crystalline SnHg at its relaxed geometry, computed with GGA-PBE.

abc: 7.728 7.728 4.963
angles: 90.00 90.00 90.00
Sites, in units of the cell vectors:
Sn 0.133 0.133 0.000
Sn 0.367 0.633 0.500
Sn 0.633 0.367 0.500
Sn 0.867 0.867 0.000
Hg 0.245 0.755 0.000
Hg 0.255 0.255 0.500
Hg 0.745 0.745 0.500
Hg 0.755 0.245 0.000

Properties
ΔH_f (0 K) (eV per formula unit): 0.44
Energy (eV per atom): -1.932